[1]
Below is a relaxed Cs2Mg3I8 crystal, with properties calculated at the PBE-GGA level.

a = 7.626 Å, b = 8.790 Å, c = 10.304 Å
α = 115.25°, β = 104.98°, γ = 90.00°
Sites, in units of the cell vectors:
I 0.055 0.401 0.801
I 0.615 0.145 0.822
I 0.385 0.323 0.178
I 0.894 0.092 0.183
I 0.945 0.599 0.199
I 0.106 0.908 0.817
I 0.615 0.677 0.822
I 0.385 0.855 0.178
Mg 0.000 0.741 0.000
Mg 0.000 0.259 0.000
Mg 0.500 0.000 0.000
Cs 0.672 0.740 0.481
Cs 0.328 0.260 0.519

Values from the calculation:
raw total energy	-2.629	eV/atom
crystal system	monoclinic
energy relative to the elements, uncorrected	-1.18	eV/atom
volume	599	Å³/cell
magnetic moment	0.000	μB per cell

***

[2]
Below is a relaxed CsMg3I7 crystal, with properties calculated at the PBE-GGA level.

a = 8.474 Å, b = 7.480 Å, c = 8.474 Å
α = 90.72°, β = 73.86°, γ = 90.72°
Sites, in units of the cell vectors:
I 0.079 0.305 0.682
I 0.318 0.695 0.921
I 0.130 0.182 0.130
I 0.500 0.000 0.500
I 0.921 0.695 0.318
I 0.870 0.818 0.870
I 0.682 0.305 0.079
Cs 0.500 0.500 0.500
Mg 0.000 0.500 0.000
Mg 0.810 0.000 0.190
Mg 0.190 0.000 0.810

Values from the calculation:
raw total energy	-2.566	eV/atom
crystal system	monoclinic
energy relative to the elements, uncorrected	-1.07	eV/atom
volume	516	Å³/cell
magnetic moment	0.000	μB per cell

***

[3]
Below is a relaxed CsMgI3 crystal, with properties calculated at the PBE-GGA level.

a = 7.103 Å, b = 7.103 Å, c = 7.103 Å
α = 90.00°, β = 90.00°, γ = 90.00°
Site moments in Bohr magnetons follow the coordinates.
Sites, in units of the cell vectors:
Cs 0.000 0.000 0.000  0.03
Mg 0.500 0.500 0.500  -0.01
I 0.500 0.000 0.000  0.04
I 0.000 0.000 0.500  0.25
I 0.000 0.500 0.000  0.11

Values from the calculation:
raw total energy	-1.464	eV/atom
crystal system	cubic
energy relative to the elements, uncorrected	-0.04	eV/atom
volume	358	Å³/cell
magnetic moment	0.635	μB per cell

***

[4]
Below is a relaxed CsMgI3 crystal, with properties calculated at the PBE-GGA level.

a = 5.917 Å, b = 5.917 Å, c = 5.917 Å
α = 90.00°, β = 90.00°, γ = 90.00°
Sites, in units of the cell vectors:
I 0.000 0.500 0.000
I 0.000 0.000 0.500
I 0.500 0.000 0.000
Cs 0.500 0.500 0.500
Mg 0.000 0.000 0.000

Values from the calculation:
raw total energy	-2.625	eV/atom
crystal system	cubic
energy relative to the elements, uncorrected	-1.21	eV/atom
volume	207	Å³/cell
magnetic moment	0.000	μB per cell

***

[5]
Below is a relaxed Cs2MgI3 crystal, with properties calculated at the PBE-GGA level.

a = 5.221 Å, b = 5.992 Å, c = 11.007 Å
α = 105.80°, β = 103.72°, γ = 90.00°
Sites, in units of the cell vectors:
I 0.158 0.158 0.317
I 0.000 0.500 0.000
I 0.842 0.842 0.683
Cs 0.350 0.350 0.700
Cs 0.650 0.650 0.300
Mg 0.000 0.000 0.000

Values from the calculation:
raw total energy	-2.441	eV/atom
crystal system	orthorhombic
energy relative to the elements, uncorrected	-1.12	eV/atom
volume	321	Å³/cell
magnetic moment	0.000	μB per cell

***

[6]
Below is a relaxed CsMg3I crystal, with properties calculated at the PBE-GGA level.

a = 7.496 Å, b = 7.496 Å, c = 7.496 Å
α = 90.00°, β = 90.00°, γ = 90.00°
Sites, in units of the cell vectors:
Mg 0.000 0.500 0.000
Mg 0.000 0.000 0.500
Mg 0.500 0.000 0.000
Cs 0.000 0.000 0.000
I 0.500 0.500 0.500

Values from the calculation:
raw total energy	-0.777	eV/atom
crystal system	cubic
energy above the lowest structure with this stoichiometry	7.30	kcal/mol of atoms
energy relative to the elements, uncorrected	0.66	eV/atom
volume	421	Å³/cell
magnetic moment	0.000	μB per cell

***

[7]
Below is a relaxed CsMg3I crystal, with properties calculated at the PBE-GGA level.

a = 6.539 Å, b = 6.539 Å, c = 6.539 Å
α = 90.00°, β = 90.00°, γ = 90.00°
Sites, in units of the cell vectors:
Mg 0.000 0.000 0.500
Mg 0.500 0.000 0.000
Mg 0.000 0.500 0.000
I 0.000 0.000 0.000
Cs 0.500 0.500 0.500

Values from the calculation:
raw total energy	-1.094	eV/atom
crystal system	cubic
energy above the lowest structure with this stoichiometry	0.00	kcal/mol of atoms
energy relative to the elements, uncorrected	0.34	eV/atom
volume	280	Å³/cell
magnetic moment	0.000	μB per cell

***

[8]
Below is a relaxed Cs4MgI6 crystal, with properties calculated at the PBE-GGA level.

a = 9.641 Å, b = 10.643 Å, c = 16.965 Å
α = 76.04°, β = 73.49°, γ = 63.07°
Site moments in Bohr magnetons follow the coordinates.
Sites, in units of the cell vectors:
I 0.320 0.272 0.735  0.00
I 0.443 0.670 0.496  0.01
I 0.995 0.150 0.256  0.08
I 0.920 0.030 0.642  0.06
I 0.955 0.547 0.921  0.01
I 0.391 0.170 0.996  0.01
I 0.026 0.081 0.939  0.00
I 0.955 0.581 0.439  0.00
I 0.672 0.772 0.235  0.00
I 0.408 0.530 0.142  0.06
I 0.576 0.047 0.421  0.01
I 0.600 0.650 0.756  0.08
Mg 0.666 0.772 0.399  0.00
Mg 0.163 0.272 0.899  0.00
Cs 0.690 0.145 0.159  0.00
Cs 0.775 0.285 0.460  0.00
Cs 0.684 0.264 0.808  0.00
Cs 0.334 0.969 0.639  0.00
Cs 0.244 0.764 0.308  0.00
Cs 0.480 0.785 0.960  0.00
Cs 0.006 0.645 0.659  0.00
Cs 0.059 0.469 0.139  0.00

Values from the calculation:
raw total energy	-2.690	eV/atom
crystal system	monoclinic
energy relative to the elements, uncorrected	-1.39	eV/atom
volume	1475	Å³/cell
magnetic moment	0.601	μB per cell